# CsSrAgS2

A relaxed structure of CsSrAgS2 (PBE, the Alexandria database).

abc: 7.9910 15.7195 5.7779
angles: 90.00 90.00 90.00
Closest atoms and distances in Å follow each position.
Space group Cmme (No. 67)
One atom of each set of equivalent atoms:
Cs 0.0000 0.2500 0.2175 [4 per cell]  4 S 3.63-3.64
Sr 0.2500 0.0000 0.5000 [4 per cell]  4 S 2.93
Ag 0.0000 0.0000 0.0000 [4 per cell]  2 S 2.37
S 0.0000 0.1095 0.7193 [8 per cell]  1 Ag 2.37

Results
- Uncorrected formation energy: -1.16 eV/atom
- Density of states at the Fermi level: 0.00 states/eV/f.u.
- Total moment: 0.0 μB/cell
- Volume: 725.8 Å³/cell